First-principles (PBE) data for a relaxed Sn2PSeI crystal, as listed in Alexandria via LeMat-Bulk.

Cell and atoms, written as CIF:
```
data_Sn2PSeI
_cell_length_a 5.9418
_cell_length_b 5.9418
_cell_length_c 5.0610
_cell_angle_alpha 90.00
_cell_angle_beta 90.00
_cell_angle_gamma 90.00
_symmetry_space_group_name_H-M 'P 4/m m m'
_symmetry_Int_Tables_number 123
_symmetry_space_group_name_Hall '-P 4 2'
loop_
_atom_site_label
_atom_site_type_symbol
_atom_site_fract_x
_atom_site_fract_y
_atom_site_fract_z
Sn1 Sn 0.0000 0.5000 0.0000
P1 P 0.0000 0.0000 0.5000
Se1 Se 0.5000 0.5000 0.5000
I1 I 0.0000 0.0000 0.0000
```

E: -13.30 eV for the cell shown
energy relative to the elements, uncorrected: 497 kJ/mol of formula units
spin magnetization: 0.00 μB/f.u.
density of states at the Fermi level: 0.82 states/eV per atom

---

First-principles (PBE) data for a relaxed Sr6PSe2I3 crystal, as listed in Alexandria via LeMat-Bulk.

Cell and atoms, written as CIF:
```
data_Sr6PSe2I3
_cell_length_a 7.8518
_cell_length_b 13.5859
_cell_length_c 8.1647
_cell_angle_alpha 90.00
_cell_angle_beta 108.66
_cell_angle_gamma 90.00
_symmetry_space_group_name_H-M 'C 1 2/m 1'
_symmetry_Int_Tables_number 12
loop_
_symmetry_equiv_pos_as_xyz
'x,y,z'
'-x,-y,-z'
'-x,y,-z'
'x,-y,z'
'x+1/2,y+1/2,z'
'-x+1/2,-y+1/2,-z'
'-x+1/2,y+1/2,-z'
'x+1/2,-y+1/2,z'
loop_
_atom_site_label
_atom_site_type_symbol
_atom_site_fract_x
_atom_site_fract_y
_atom_site_fract_z
Sr1 Sr 0.2295 0.1613 0.2052
Sr2 Sr 0.2473 0.5000 0.2077
P1 P 0.0000 0.0000 0.0000
Se1 Se 0.0000 0.3339 0.0000
I1 I 0.0000 0.1701 0.5000
I2 I 0.0000 0.5000 0.5000
```

E: -91.41 eV for the cell shown
energy relative to the elements, uncorrected: -1793 kJ/mol of formula units
spin magnetization: 0.00 μB/f.u.
density of states at the Fermi level: 0.34 states/eV per atom

---

First-principles (PBE) data for a relaxed Sr4PSeI2 crystal, as listed in Alexandria via LeMat-Bulk.

Cell and atoms, written as CIF:
```
data_Sr4PSeI2
_cell_length_a 7.8594
_cell_length_b 4.5281
_cell_length_c 8.1857
_cell_angle_alpha 90.00
_cell_angle_beta 108.56
_cell_angle_gamma 90.00
_symmetry_space_group_name_H-M 'P 1 2/m 1'
_symmetry_Int_Tables_number 10
loop_
_symmetry_equiv_pos_as_xyz
'x,y,z'
'-x,-y,-z'
'-x,y,-z'
'x,-y,z'
loop_
_atom_site_label
_atom_site_type_symbol
_atom_site_fract_x
_atom_site_fract_y
_atom_site_fract_z
Sr1 Sr 0.2232 0.0000 0.2011
Sr2 Sr 0.2536 0.5000 0.7947
P1 P 0.0000 0.5000 0.0000
Se1 Se 0.5000 0.0000 0.0000
I1 I 0.0000 0.0000 0.5000
I2 I 0.5000 0.5000 0.5000
```

E: -30.90 eV for the cell shown
energy relative to the elements, uncorrected: -1175 kJ/mol of formula units
spin magnetization: 0.00 μB/f.u.
density of states at the Fermi level: 0.39 states/eV per atom

---

First-principles (PBE) data for a relaxed TePSeI2 crystal, as listed in Alexandria via LeMat-Bulk.

Cell and atoms, written as CIF:
```
data_TePSeI2
_cell_length_a 5.3119
_cell_length_b 5.3119
_cell_length_c 5.5852
_cell_angle_alpha 90.00
_cell_angle_beta 90.00
_cell_angle_gamma 90.00
_symmetry_space_group_name_H-M 'P 4/m m m'
_symmetry_Int_Tables_number 123
_symmetry_space_group_name_Hall '-P 4 2'
loop_
_atom_site_label
_atom_site_type_symbol
_atom_site_fract_x
_atom_site_fract_y
_atom_site_fract_z
Te1 Te 0.0000 0.0000 0.0000
P1 P 0.0000 0.0000 0.5000
Se1 Se 0.5000 0.5000 0.0000
I1 I 0.0000 0.5000 0.5000
```

E: -12.05 eV for the cell shown
ΔE to the lowest computed polymorph: 0.000 eV per formula unit
energy relative to the elements, uncorrected: 298 kJ/mol of formula units
spin magnetization: 0.86 μB/f.u.
density of states at the Fermi level: 0.80 states/eV per atom

---

First-principles (PBE) data for a relaxed TePSe4I crystal, as listed in Alexandria via LeMat-Bulk.

Cell and atoms, written as CIF:
```
data_TePSe4I
_cell_length_a 13.6047
_cell_length_b 8.1838
_cell_length_c 9.2290
_cell_angle_alpha 90.00
_cell_angle_beta 90.68
_cell_angle_gamma 90.00
_symmetry_space_group_name_H-M 'C 1 2/m 1'
_symmetry_Int_Tables_number 12
loop_
_symmetry_equiv_pos_as_xyz
'x,y,z'
'-x,-y,-z'
'-x,y,-z'
'x,-y,z'
'x+1/2,y+1/2,z'
'-x+1/2,-y+1/2,-z'
'-x+1/2,y+1/2,-z'
'x+1/2,-y+1/2,z'
loop_
_atom_site_label
_atom_site_type_symbol
_atom_site_fract_x
_atom_site_fract_y
_atom_site_fract_z
Te1 Te 0.1621 0.0000 0.3976
P1 P 0.1090 0.5000 0.2422
Se1 Se 0.0347 0.5000 0.6637
Se2 Se 0.0878 0.5000 0.9900
Se3 Se 0.2217 0.3074 0.3146
I1 I 0.0227 0.0000 0.1722
```

E: -93.61 eV for the cell shown
energy relative to the elements, uncorrected: 62 kJ/mol of formula units
spin magnetization: 0.00 μB/f.u.
density of states at the Fermi level: 0.16 states/eV per atom

---

First-principles (PBE) data for a relaxed Te2PSeI crystal, as listed in Alexandria via LeMat-Bulk.

Cell and atoms, written as CIF:
```
data_Te2PSeI
_cell_length_a 5.3372
_cell_length_b 5.3372
_cell_length_c 5.2041
_cell_angle_alpha 90.00
_cell_angle_beta 90.00
_cell_angle_gamma 90.00
_symmetry_space_group_name_H-M 'P 4/m m m'
_symmetry_Int_Tables_number 123
_symmetry_space_group_name_Hall '-P 4 2'
loop_
_atom_site_label
_atom_site_type_symbol
_atom_site_fract_x
_atom_site_fract_y
_atom_site_fract_z
Te1 Te 0.0000 0.5000 0.0000
P1 P 0.0000 0.0000 0.0000
Se1 Se 0.5000 0.5000 0.5000
I1 I 0.0000 0.0000 0.5000
```

E: -13.57 eV for the cell shown
ΔE to the lowest computed polymorph: 0.000 eV per formula unit
energy relative to the elements, uncorrected: 305 kJ/mol of formula units
spin magnetization: 0.00 μB/f.u.
density of states at the Fermi level: 0.68 states/eV per atom